PBE with a Hubbard U CdMoN2O, optimized geometry; electronic total energy = -5.7807 eV/atom
1.0
4.022 0.000 0.000
0.000 4.022 0.000
0.000 0.000 3.907
Mo N O Cd
1 2 1 1
Cartesian
0.000 0.000 0.000
0.000 2.011 0.000
2.011 0.000 0.000
0.000 0.000 1.954
2.011 2.011 1.954